# 1
Below is an optimized crystal structure of SrLaEr2, with properties calculated at the PBE level.

Calculated values
* total DFT energy (no corrections): -3.8024 eV/atom
* distance to the lowest polymorph of the same formula: 0.0 kJ/mol of formula units
* formation energy from the elements: 131 meV/atom
* spin magnetization: 0.000 μB per atom

Unit cell a=3.6996 b=3.6996 c=36.4948 alpha=90.00 beta=90.00 gamma=120.00
Last column: nearest neighbours and their distance in Å.
Space group R3m (No. 160, hexagonal axes)
Asymmetric unit:
Sr1 0.0000 0.0000 0.0000 (multiplicity 3)  6 Sr 3.70, 6 Er 3.85-3.88
La1 0.0000 0.0000 0.8343 (multiplicity 3)  6 Er 3.56-3.59, 6 La 3.70
Er1 0.0000 0.0000 0.2456 (multiplicity 3)  3 La 3.56, 6 Er 3.70, 3 Sr 3.85
Er2 0.0000 0.0000 0.4219 (multiplicity 3)  3 La 3.59, 6 Er 3.70, 3 Sr 3.88

***

# 2
Below is an optimized crystal structure of NiSn4Pd2, with properties calculated at the PBE level.

Calculated values
* total DFT energy (no corrections): -4.6752 eV/atom
* formation energy from the elements: -78 meV/atom
* spin magnetization: 0.000 μB per atom

Unit cell a=5.0047 b=5.0047 c=12.9841 alpha=90.00 beta=90.00 gamma=90.00
Last column: nearest neighbours and their distance in Å.
Space group I4/mmm (No. 139)
Asymmetric unit:
Ni1 0.0000 0.0000 0.0000 (multiplicity 2)  6 Sn 2.50-2.52
Sn1 0.0000 0.0000 0.1941 (multiplicity 4)  1 Ni 2.52, 1 Pd 2.59
Sn2 0.0000 0.5000 0.0000 (multiplicity 4)  2 Ni 2.50
Pd1 0.0000 0.0000 0.3934 (multiplicity 4)  5 Sn 2.59-2.86, 1 Pd 2.77

***

Which value of total DFT energy (no corrections) does entry 2 give?
-4.6752 eV/atom

***

Look up the formation energy from the elements of the first one.
131 meV/atom

***

Please write out number 1 again, unchanged.
Below is an optimized crystal structure of SrLaEr2, with properties calculated at the PBE level.

Calculated values
* total DFT energy (no corrections): -3.8024 eV/atom
* distance to the lowest polymorph of the same formula: 0.0 kJ/mol of formula units
* formation energy from the elements: 131 meV/atom
* spin magnetization: 0.000 μB per atom

Unit cell a=3.6996 b=3.6996 c=36.4948 alpha=90.00 beta=90.00 gamma=120.00
Last column: nearest neighbours and their distance in Å.
Space group R3m (No. 160, hexagonal axes)
Asymmetric unit:
Sr1 0.0000 0.0000 0.0000 (multiplicity 3)  6 Sr 3.70, 6 Er 3.85-3.88
La1 0.0000 0.0000 0.8343 (multiplicity 3)  6 Er 3.56-3.59, 6 La 3.70
Er1 0.0000 0.0000 0.2456 (multiplicity 3)  3 La 3.56, 6 Er 3.70, 3 Sr 3.85
Er2 0.0000 0.0000 0.4219 (multiplicity 3)  3 La 3.59, 6 Er 3.70, 3 Sr 3.88